No. 1
A plane-wave DFT calculation with PBE was carried out for crystalline Zr2Mn at its relaxed geometry.

Values from the calculation:
Calculated volume, Å³ per cell: 115.63
E_tot, hartree per atom: -0.317
Density, g cm⁻³: 6.82

Cell: 5.7454 5.7454 6.8443 Å, 102.42 102.42 31.68°
Last column: nearest neighbours and their distance in Å.
Element x y z (fractional)
Zr 0.0000 0.0000 0.0000  4 Mn 2.69-2.94
Zr 0.0130 0.0130 0.4895  2 Mn 2.75
Zr 0.3076 0.3076 0.6770  1 Mn 2.40
Zr 0.7223 0.7223 0.2793  2 Mn 2.57
Mn 0.2768 0.2768 0.0138  3 Zr 2.40-2.57, 2 Mn 2.47
Mn 0.6312 0.6312 0.8039  2 Mn 2.47, 4 Zr 2.69-2.75



No. 2
A plane-wave DFT calculation with PBE was carried out for crystalline ZrMn at its relaxed geometry.

Values from the calculation:
Calculated volume, Å³ per cell: 144.29
E_tot, hartree per atom: -0.318
Density, g cm⁻³: 6.73

Cell: 5.2450 5.2450 5.2450 Å, 90.00 90.00 90.00°
Last column: nearest neighbours and their distance in Å.
Element x y z (fractional)
Zr 0.0891 0.0891 0.0891  7 Mn 2.78-2.90
Zr 0.4109 0.9109 0.5891  7 Mn 2.78-2.90
Zr 0.5891 0.4109 0.9109  7 Mn 2.78-2.90
Zr 0.9109 0.5891 0.4109  7 Mn 2.78-2.90
Mn 0.0918 0.5918 0.9082  7 Zr 2.78-2.90
Mn 0.4082 0.4082 0.4082  7 Zr 2.78-2.90
Mn 0.5918 0.9082 0.0918  7 Zr 2.78-2.90
Mn 0.9082 0.0918 0.5918  7 Zr 2.78-2.90



No. 3
A plane-wave DFT calculation with PBE was carried out for crystalline Mo2N at its relaxed geometry.

Values from the calculation:
Calculated volume, Å³ per cell: 148.95
E_tot, hartree per atom: -0.377
Density, g cm⁻³: 9.18
Excess energy over the best structure of this formula in the dataset, kJ per mole of atoms: 0.0
Energy relative to the elements, uncorrected, meV per atom: -264

Cell: 4.8985 5.9943 5.0728 Å, 90.00 90.00 90.00°
Last column: nearest neighbours and their distance in Å.
Element x y z (fractional)
Mo 0.2457 0.1335 0.0936  3 N 2.07-2.14
Mo 0.2457 0.8665 0.5936  3 N 2.07-2.14
Mo 0.2543 0.3665 0.5936  3 N 2.07-2.14
Mo 0.2543 0.6335 0.0936  3 N 2.07-2.14
Mo 0.7457 0.3665 0.9064  3 N 2.07-2.14
Mo 0.7457 0.6335 0.4064  3 N 2.07-2.14
Mo 0.7543 0.1335 0.4064  3 N 2.07-2.14
Mo 0.7543 0.8665 0.9064  3 N 2.07-2.14
N 0.0000 0.3802 0.2500  6 Mo 2.07-2.14
N 0.0000 0.6198 0.7500  6 Mo 2.07-2.14
N 0.5000 0.1198 0.7500  6 Mo 2.07-2.14
N 0.5000 0.8802 0.2500  6 Mo 2.07-2.14



No. 4
A plane-wave DFT calculation with PBE was carried out for crystalline Mo5N at its relaxed geometry.

Values from the calculation:
Calculated volume, Å³ per cell: 87.30
E_tot, hartree per atom: -0.371
Density, g cm⁻³: 9.39
Energy relative to the elements, uncorrected, meV per atom: 308

Cell: 6.4879 6.4879 2.9979 Å, 90.00 90.00 136.23°
Last column: nearest neighbours and their distance in Å.
Element x y z (fractional)
Mo 0.0000 0.0000 0.0000  8 Mo 2.66-2.81, 4 N 2.85
Mo 0.1824 0.8176 0.5000  10 Mo 2.66-2.95
Mo 0.3813 0.6187 0.0000  2 N 2.07
Mo 0.6187 0.3813 0.0000  2 N 2.07
Mo 0.8176 0.1824 0.5000  10 Mo 2.66-2.95
N 0.5000 0.5000 0.5000  4 Mo 2.07



No. 5
A plane-wave DFT calculation with PBE was carried out for crystalline Mo2N at its relaxed geometry.

Values from the calculation:
Calculated volume, Å³ per cell: 73.42
E_tot, hartree per atom: -0.377
Density, g cm⁻³: 9.31
Excess energy over the best structure of this formula in the dataset, kJ per mole of atoms: 1.2
Energy relative to the elements, uncorrected, meV per atom: -252

Cell: 5.0352 5.0352 5.0352 Å, 129.85 129.85 73.65°
Last column: nearest neighbours and their distance in Å.
Element x y z (fractional)
Mo 0.1141 0.3641 0.7500  3 N 2.10-2.14
Mo 0.3641 0.1141 0.2500  3 N 2.10-2.14
Mo 0.6359 0.8859 0.7500  3 N 2.10-2.14
Mo 0.8859 0.6359 0.2500  3 N 2.10-2.14
N 0.3750 0.6250 0.7500  6 Mo 2.10-2.14
N 0.6250 0.3750 0.2500  6 Mo 2.10-2.14



No. 6
A plane-wave DFT calculation with PBE was carried out for crystalline MoN4 at its relaxed geometry.

Values from the calculation:
Calculated volume, Å³ per cell: 64.90
E_tot, hartree per atom: -0.253
Density, g cm⁻³: 3.89
Energy relative to the elements, uncorrected, meV per atom: 1933

Cell: 4.0186 4.0186 4.0186 Å, 90.00 90.00 90.00°
Last column: nearest neighbours and their distance in Å.
Element x y z (fractional)
Mo 0.0000 0.0000 0.0000  6 N 2.01
N 0.0000 0.0000 0.5000  2 Mo 2.01
N 0.0000 0.5000 0.0000  2 Mo 2.01
N 0.5000 0.0000 0.0000  2 Mo 2.01
N 0.5000 0.5000 0.5000  12 N 2.84



| no. | density of states at the Fermi level (states/eV/f.u.) |
| --- | --- |
| 1 | 3.1 |
| 2 | 3.0 |
| 3 | 2.2 |
| 4 | 6.1 |
| 5 | 2.4 |
| 6 | 0.5 |